Density functional theory data (GGA-PBE) for a relaxed structure of Li2CaPm2Pb2.

Results
**Calculated formation energy**: -2.5 eV per formula unit

Lattice parameters (Å, degrees): 4.9058 4.9058 9.8135 75.53 75.53 60.00
Closest atoms and distances in Å follow each position.
Element x y z (fractional)
Li 0.5974 0.5974 0.2078  3 Pb 2.83
Li 0.4026 0.4026 0.7922  3 Pb 2.83
Ca 0.0000 0.0000 0.0000  6 Li 3.44, 6 Pb 3.51, 2 Pm 3.63
Pm 0.1288 0.1288 0.6137  3 Pb 3.24, 3 Li 3.29, 3 Pm 3.55
Pm 0.8712 0.8712 0.3863  3 Pb 3.24, 3 Li 3.29, 3 Pm 3.55
Pb 0.7399 0.7399 0.7802  3 Li 2.83
Pb 0.2601 0.2601 0.2198  3 Li 2.83